[1]
A plane-wave DFT calculation with PBE-GGA was carried out for Tb2ReTc3 after structural relaxation.

Properties
For the energy relative to the elements, the calculation gives -0.8 eV per formula unit. For the density of states at the Fermi level, the calculation gives 19.08 states/eV/cell.

CIF file:
```
data_Tb2ReTc3
_space_group_name_H-M_alt 'R -3 m'
_space_group_IT_number 166
_space_group_name_Hall '-R 3 2"'
_cell_length_a 5.5083
_cell_length_b 5.5083
_cell_length_c 12.8615
_cell_angle_alpha 90.00
_cell_angle_beta 90.00
_cell_angle_gamma 120.00
loop_
_atom_site_label
_atom_site_type_symbol
_atom_site_fract_x
_atom_site_fract_y
_atom_site_fract_z
Tb1 Tb 0.0000 0.0000 0.1260
Re1 Re 0.0000 0.0000 0.5000
Tc1 Tc 0.0000 0.5000 0.0000
```



[2]
A plane-wave DFT calculation with PBE-GGA was carried out for SrMnOs after structural relaxation.

Properties
For the energy above the most stable polymorph in this dataset, the calculation gives 649 meV/atom. For the energy relative to the elements, the calculation gives 3.3 eV per formula unit. For the density of states at the Fermi level, the calculation gives 22.83 states/eV/cell.

CIF file:
```
data_SrMnOs
_space_group_name_H-M_alt 'F -4 3 m'
_space_group_IT_number 216
_space_group_name_Hall 'F -4 2 3'
_cell_length_a 6.5476
_cell_length_b 6.5476
_cell_length_c 6.5476
_cell_angle_alpha 90.00
_cell_angle_beta 90.00
_cell_angle_gamma 90.00
loop_
_atom_site_label
_atom_site_type_symbol
_atom_site_fract_x
_atom_site_fract_y
_atom_site_fract_z
Sr1 Sr 0.0000 0.0000 0.0000
Mn1 Mn 0.0000 0.0000 0.5000
Os1 Os 0.2500 0.2500 0.7500
```



[3]
A plane-wave DFT calculation with PBE-GGA was carried out for Ac2LaCeIr2 after structural relaxation.

Properties
For the energy relative to the elements, the calculation gives -3.1 eV per formula unit. For the density of states at the Fermi level, the calculation gives 32.90 states/eV/cell.

CIF file:
```
data_Ac2LaCeIr2
_space_group_name_H-M_alt 'I b a m'
_space_group_IT_number 72
_space_group_name_Hall '-I 2 2c'
_cell_length_a 7.2923
_cell_length_b 14.1842
_cell_length_c 7.1184
_cell_angle_alpha 90.00
_cell_angle_beta 90.00
_cell_angle_gamma 90.00
loop_
_atom_site_label
_atom_site_type_symbol
_atom_site_fract_x
_atom_site_fract_y
_atom_site_fract_z
Ac1 Ac 0.1902 0.1956 0.0000
La1 La 0.0000 0.5000 0.2500
Ce1 Ce 0.0000 0.0000 0.2500
Ir1 Ir 0.2212 0.0999 0.5000
```



[4]
A plane-wave DFT calculation with PBE-GGA was carried out for La2NdTm after structural relaxation.

Properties
For the energy above the most stable polymorph in this dataset, the calculation gives 3 meV/atom. For the energy relative to the elements, the calculation gives 0.1 eV per formula unit. For the density of states at the Fermi level, the calculation gives 15.95 states/eV/cell.

CIF file:
```
data_La2NdTm
_space_group_name_H-M_alt 'R -3 m'
_space_group_IT_number 166
_space_group_name_Hall '-R 3 2"'
_cell_length_a 3.6788
_cell_length_b 3.6788
_cell_length_c 35.4795
_cell_angle_alpha 90.00
_cell_angle_beta 90.00
_cell_angle_gamma 120.00
loop_
_atom_site_label
_atom_site_type_symbol
_atom_site_fract_x
_atom_site_fract_y
_atom_site_fract_z
La1 La 0.0000 0.0000 0.2479
Nd1 Nd 0.0000 0.0000 0.0000
Tm1 Tm 0.0000 0.0000 0.5000
```



[5]
A plane-wave DFT calculation with PBE-GGA was carried out for Ho5In2NiRu2 after structural relaxation.

Properties
For the energy relative to the elements, the calculation gives -3.5 eV per formula unit. For the density of states at the Fermi level, the calculation gives 10.45 states/eV/cell.

CIF file:
```
data_Ho5In2NiRu2
_space_group_name_H-M_alt 'P 4/m b m'
_space_group_IT_number 127
_space_group_name_Hall '-P 4 2ab'
_cell_length_a 11.6354
_cell_length_b 11.6354
_cell_length_c 3.4409
_cell_angle_alpha 90.00
_cell_angle_beta 90.00
_cell_angle_gamma 90.00
loop_
_atom_site_label
_atom_site_type_symbol
_atom_site_fract_x
_atom_site_fract_y
_atom_site_fract_z
Ho1 Ho 0.0000 0.5000 0.0000
Ho2 Ho 0.0634 0.1960 0.0000
In1 In 0.1809 0.6809 0.5000
Ni1 Ni 0.0000 0.0000 0.5000
Ru1 Ru 0.1376 0.3624 0.5000
```



[6]
A plane-wave DFT calculation with PBE-GGA was carried out for H2IrI after structural relaxation.

Properties
For the energy above the most stable polymorph in this dataset, the calculation gives 703 meV/atom. For the density of states at the Fermi level, the calculation gives 3.84 states/eV/cell.

CIF file:
```
data_H2IrI
_space_group_name_H-M_alt 'F m -3 m'
_space_group_IT_number 225
_space_group_name_Hall '-F 4 2 3'
_cell_length_a 5.7302
_cell_length_b 5.7302
_cell_length_c 5.7302
_cell_angle_alpha 90.00
_cell_angle_beta 90.00
_cell_angle_gamma 90.00
loop_
_atom_site_label
_atom_site_type_symbol
_atom_site_fract_x
_atom_site_fract_y
_atom_site_fract_z
H1 H 0.2500 0.2500 0.2500
Ir1 Ir 0.0000 0.0000 0.0000
I1 I 0.0000 0.0000 0.5000
```



[7]
A plane-wave DFT calculation with PBE-GGA was carried out for Sm4Tm5Tl2 after structural relaxation.

Properties
For the energy relative to the elements, the calculation gives 0.1 eV per formula unit. For the density of states at the Fermi level, the calculation gives 16.36 states/eV/cell.

CIF file:
```
data_Sm4Tm5Tl2
_space_group_name_H-M_alt 'P 1 2/m 1'
_space_group_IT_number 10
_cell_length_a 8.6065
_cell_length_b 3.5106
_cell_length_c 11.3118
_cell_angle_alpha 90.00
_cell_angle_beta 93.74
_cell_angle_gamma 90.00
loop_
_space_group_symop_operation_xyz
'x,y,z'
'-x,-y,-z'
'-x,y,-z'
'x,-y,z'
loop_
_atom_site_label
_atom_site_type_symbol
_atom_site_fract_x
_atom_site_fract_y
_atom_site_fract_z
Sm1 Sm 0.1444 0.0000 0.3887
Sm2 Sm 0.2923 0.0000 0.9511
Tm1 Tm 0.2054 0.5000 0.6711
Tm2 Tm 0.4254 0.5000 0.2078
Tm3 Tm 0.5000 0.5000 0.5000
Tl1 Tl 0.0557 0.5000 0.1363
```



[8]
A plane-wave DFT calculation with PBE-GGA was carried out for DyAgSb after structural relaxation.

Properties
The value obtained for the formation energy (no corrections) is -1.5 eV per formula unit. For the density of states at the Fermi level, the calculation gives 5.54 states/eV/cell.

CIF file:
```
data_DyAgSb
_space_group_name_H-M_alt 'I m m m'
_space_group_IT_number 71
_space_group_name_Hall '-I 2 2'
_cell_length_a 3.7716
_cell_length_b 5.2418
_cell_length_c 15.8223
_cell_angle_alpha 90.00
_cell_angle_beta 90.00
_cell_angle_gamma 90.00
loop_
_atom_site_label
_atom_site_type_symbol
_atom_site_fract_x
_atom_site_fract_y
_atom_site_fract_z
Dy1 Dy 0.0000 0.0000 0.1478
Ag1 Ag 0.0000 0.2534 0.5000
Sb1 Sb 0.0000 0.0000 0.3417
```



Number 1: VASP energy -8.937 eV per atom. Number 2: VASP energy -6.260 eV per atom. Number 3: VASP energy -6.653 eV per atom. Number 4: VASP energy -4.758 eV per atom. Number 5: VASP energy -5.617 eV per atom. Number 6: VASP energy -2.983 eV per atom. Number 7: VASP energy -4.173 eV per atom. Number 8: VASP energy -4.353 eV per atom.